# Mg2InPd3 | Alexandria | PBE-GGA | relaxed
# Mass density, kg/m³: 7990
# Formation energy from the elements, eV/atom: -0.693
# DOS(E_F), states/eV/f.u.: 2.0
# V, Å³/cell: 100.32
data_Mg2InPd3
_chemical_formula_sum 'Mg2 In1 Pd3'
_cell_length_a 4.5497
_cell_length_b 4.5497
_cell_length_c 5.5963
_cell_angle_alpha 90.00
_cell_angle_beta 90.00
_cell_angle_gamma 120.00
_space_group_name_H-M_alt 'P -3 m 1'
_space_group_IT_number 164
_space_group_name_Hall '-P 3 2"'
loop_
_atom_site_label
_atom_site_fract_x
_atom_site_fract_y
_atom_site_fract_z
_atom_site_occupancy
Mg1 0.3333 0.6667 0.1657 1
In1 0.0000 0.0000 0.5000 1
Pd1 0.0000 0.0000 0.0000 1
Pd2 0.3333 0.6667 0.6757 1